[1]
# MnCrTe2, relaxed, DFT PBE
data_MnCrTe2
_cell_length_a 4.0533
_cell_length_b 4.0533
_cell_length_c 19.7881
_cell_angle_alpha 90.00
_cell_angle_beta 90.00
_cell_angle_gamma 120.00
_space_group_name_H-M_alt 'R -3 m'
_space_group_IT_number 166
_space_group_name_Hall '-R 3 2"'
loop_
_atom_site_label
_atom_site_type_symbol
_atom_site_fract_x
_atom_site_fract_y
_atom_site_fract_z
Mn1 Mn 0.0000 0.0000 0.0000
Cr1 Cr 0.0000 0.0000 0.5000
Te1 Te 0.0000 0.0000 0.2487
# Raw formation energy ... -30 meV per atom

[2]
# SrTl2AgBr6, relaxed, DFT PBE
data_SrTl2AgBr6
_cell_length_a 7.7288
_cell_length_b 7.7380
_cell_length_c 8.2606
_cell_angle_alpha 90.09
_cell_angle_beta 117.84
_cell_angle_gamma 119.91
_space_group_name_H-M_alt 'P 1'
_space_group_IT_number 1
_space_group_name_Hall 'P 1'
loop_
_atom_site_label
_atom_site_type_symbol
_atom_site_fract_x
_atom_site_fract_y
_atom_site_fract_z
Sr1 Sr 0.0000 0.0000 0.0000
Tl1 Tl 0.5895 0.2953 0.8834
Tl2 Tl 0.6077 0.8042 0.4116
Ag1 Ag 0.9939 0.4963 0.4899
Br1 Br 0.0774 0.2226 0.7026
Br2 Br 0.1158 0.3977 0.2241
Br3 Br 0.4797 0.8550 0.7031
Br4 Br 0.5058 0.1083 0.2231
Br5 Br 0.8253 0.7175 0.2228
Br6 Br 0.8487 0.6255 0.7026
# Raw formation energy ... -997 meV per atom